Density functional theory data (PBE+U) for an optimized crystal structure of Be2Ni2SnO6.

Geometry as CIF:
```
data_Be2Ni2SnO6
_chemical_formula_sum 'Be2 Ni2 Sn1 O6'
_cell_length_a 5.0157
_cell_length_b 5.0157
_cell_length_c 5.0259
_cell_angle_alpha 90.00
_cell_angle_beta 90.00
_cell_angle_gamma 120.00
_space_group_name_H-M_alt 'P -3'
_space_group_IT_number 147
_space_group_name_Hall '-P 3'
loop_
_atom_site_label
_atom_site_fract_x
_atom_site_fract_y
_atom_site_fract_z
_atom_site_occupancy
Be1 0.3333 0.6667 0.3652 1
Ni1 0.3333 0.6667 0.9181 1
Sn1 0.0000 0.0000 0.5000 1
O1 0.0347 0.6697 0.2688 1
```

## Properties
size of the total moment: 4.01 μB/f.u.
total energy: -5.82 eV per atom